First-principles (GGA-PBE) data for a relaxed Li2NbS crystal, as listed in Alexandria.

Computed properties:
Electronic total energy (eV/atom): -4.08
SG: Fm-3m, No. 225
Raw formation energy (eV per atom): 0.43
Energy above the most stable polymorph in this dataset (kJ/mol of formula units): 220.2
M_tot (μB per formula unit): 3.250

a b c (Å): 4.3963 4.3963 4.3963
angles (deg): 60.00 60.00 60.00
Last column: nearest neighbours and their distance in Å.
Element x y z (fractional)
Li1 0.2500 0.2500 0.2500  4 S 2.69, 4 Nb 2.69
Li2 0.7500 0.7500 0.7500  4 Nb 2.69, 4 S 2.69
Nb1 0.0000 0.0000 0.0000  8 Li 2.69
S1 0.5000 0.5000 0.5000  8 Li 2.69


First-principles (GGA-PBE) data for a relaxed SmAg4Hg4 crystal, as listed in Alexandria.

Computed properties:
ΔH_f (0 K) (eV/atom): -0.041
Electronic total energy (eV/atom): -1.97
SG: P4_2/nmc, No. 137
M_tot (μB per formula unit): 0.000

a b c (Å): 6.2871 6.2871 10.3371
angles (deg): 90.00 90.00 90.00
Last column: nearest neighbours and their distance in Å.
Element x y z (fractional)
Sm1 0.2500 0.7500 0.2500  4 Hg 3.25, 8 Ag 3.48
Sm2 0.7500 0.2500 0.7500  4 Hg 3.25, 8 Ag 3.48
Ag1 0.0346 0.2500 0.1909  3 Ag 2.71-2.81, 5 Hg 2.96-3.01
Ag2 0.2500 0.0346 0.6909  3 Ag 2.71-2.81, 5 Hg 2.96-3.01
Ag3 0.2500 0.4654 0.6909  3 Ag 2.71-2.81, 5 Hg 2.96-3.01
Ag4 0.4654 0.2500 0.1909  3 Ag 2.71-2.81, 5 Hg 2.96-3.01
Ag5 0.5346 0.7500 0.8091  3 Ag 2.71-2.81, 5 Hg 2.96-3.01
Ag6 0.7500 0.5346 0.3091  3 Ag 2.71-2.81, 5 Hg 2.96-3.01
Ag7 0.7500 0.9654 0.3091  3 Ag 2.71-2.81, 5 Hg 2.96-3.01
Ag8 0.9654 0.7500 0.8091  3 Ag 2.71-2.81, 5 Hg 2.96-3.01
Hg1 0.0070 0.2500 0.4769  5 Ag 2.96-3.01, 4 Hg 3.06-3.23, 1 Sm 3.25
Hg2 0.2500 0.0070 0.9769  5 Ag 2.96-3.01, 4 Hg 3.06-3.23, 1 Sm 3.25
Hg3 0.2500 0.4930 0.9769  5 Ag 2.96-3.01, 4 Hg 3.06-3.23, 1 Sm 3.25
Hg4 0.4930 0.2500 0.4769  5 Ag 2.96-3.01, 4 Hg 3.06-3.23, 1 Sm 3.25
Hg5 0.5070 0.7500 0.5231  5 Ag 2.96-3.01, 4 Hg 3.06-3.23, 1 Sm 3.25
Hg6 0.7500 0.5070 0.0231  5 Ag 2.96-3.01, 4 Hg 3.06-3.23, 1 Sm 3.25
Hg7 0.7500 0.9930 0.0231  5 Ag 2.96-3.01, 4 Hg 3.06-3.23, 1 Sm 3.25
Hg8 0.9930 0.7500 0.5231  5 Ag 2.96-3.01, 4 Hg 3.06-3.23, 1 Sm 3.25


First-principles (GGA-PBE) data for a relaxed BeAu3 crystal, as listed in Alexandria.

Computed properties:
ΔH_f (0 K) (eV/atom): -0.033
Electronic total energy (eV/atom): -3.42
SG: R-3m, No. 166
M_tot (μB per formula unit): 0.000

a b c (Å): 8.7547 8.7547 8.7547
angles (deg): 19.34 19.34 19.34
Last column: nearest neighbours and their distance in Å.
Element x y z (fractional)
Be1 0.0000 0.0000 0.0000  6 Au 2.44
Au1 0.2654 0.2654 0.2654  3 Be 2.44
Au2 0.5000 0.5000 0.5000  12 Au 2.94-3.06
Au3 0.7346 0.7346 0.7346  3 Be 2.44


First-principles (GGA-PBE) data for a relaxed Cu2RuBr6 crystal, as listed in Alexandria.

Computed properties:
Electronic total energy (eV/atom): -3.27
SG: C2/c, No. 15
Raw formation energy (eV per atom): -0.21
M_tot (μB per formula unit): 2.034

a b c (Å): 9.9193 9.9193 6.3309
angles (deg): 95.89 95.89 95.07
Last column: nearest neighbours and their distance in Å.
Element x y z (fractional)
Cu1 0.0992 0.0995 0.7922  2 Br 2.28
Cu2 0.0995 0.0992 0.2922  2 Br 2.28
Cu3 0.9005 0.9008 0.7078  2 Br 2.28
Cu4 0.9008 0.9005 0.2078  2 Br 2.28
Ru1 0.4297 0.5703 0.7500  6 Br 2.42-2.58
Ru2 0.5703 0.4297 0.2500  6 Br 2.42-2.58
Br1 0.0000 0.2234 0.5456  2 Cu 2.28
Br2 0.0000 0.7766 0.4544  2 Cu 2.28
Br3 0.2027 0.5667 0.8602  1 Ru 2.42
Br4 0.2234 0.0000 0.0456  2 Cu 2.28
Br5 0.3366 0.4555 0.3849  2 Ru 2.52-2.58
Br6 0.4333 0.7973 0.6398  1 Ru 2.42
Br7 0.4555 0.3366 0.8849  2 Ru 2.52-2.58
Br8 0.5445 0.6634 0.1151  2 Ru 2.52-2.58
Br9 0.5667 0.2027 0.3602  1 Ru 2.42
Br10 0.6634 0.5445 0.6151  2 Ru 2.52-2.58
Br11 0.7766 0.0000 0.9544  2 Cu 2.28
Br12 0.7973 0.4333 0.1398  1 Ru 2.42


First-principles (GGA-PBE) data for a relaxed NdLuGaIr crystal, as listed in Alexandria.

Computed properties:
ΔH_f (0 K) (eV/atom): -0.606
Electronic total energy (eV/atom): -5.90
SG: F-43m, No. 216
M_tot (μB per formula unit): 0.000

a b c (Å): 4.9947 4.9947 4.9947
angles (deg): 60.00 60.00 60.00
Last column: nearest neighbours and their distance in Å.
Element x y z (fractional)
Nd1 0.0000 0.0000 0.0000  4 Ga 3.06, 4 Ir 3.06
Lu1 0.5000 0.5000 0.5000  4 Ir 3.06, 4 Ga 3.06
Ga1 0.7500 0.7500 0.7500  4 Nd 3.06, 4 Lu 3.06
Ir1 0.2500 0.2500 0.2500  4 Nd 3.06, 4 Lu 3.06


First-principles (GGA-PBE) data for a relaxed CaRu2F crystal, as listed in Alexandria.

Computed properties:
Electronic total energy (eV/atom): -5.35
SG: I-42d, No. 122
Raw formation energy (eV per atom): 0.26
Energy above the most stable polymorph in this dataset (kJ/mol of formula units): 0.0
M_tot (μB per formula unit): 0.000

a b c (Å): 8.9313 8.9313 8.9313
angles (deg): 150.98 150.98 41.50
Last column: nearest neighbours and their distance in Å.
Element x y z (fractional)
Ca1 0.0000 0.0000 0.0000  8 Ru 3.11-3.42, 4 F 3.16
Ca2 0.7500 0.2500 0.5000  8 Ru 3.11-3.42, 4 F 3.16
Ru1 0.3246 0.1250 0.6996  2 Ru 2.28, 2 F 2.38
Ru2 0.3750 0.6754 0.8004  2 Ru 2.28, 2 F 2.38
Ru3 0.4254 0.6250 0.3004  2 Ru 2.28, 2 F 2.38
Ru4 0.8750 0.5746 0.1996  2 Ru 2.28, 2 F 2.38
F1 0.2500 0.7500 0.5000  4 Ru 2.38
F2 0.5000 0.5000 0.0000  4 Ru 2.38


First-principles (GGA-PBE) data for a relaxed Cs2SmScS4 crystal, as listed in Alexandria.

Computed properties:
Electronic total energy (eV/atom): -5.26
SG: Imma, No. 74
Raw formation energy (eV per atom): -1.61
M_tot (μB per formula unit): 0.000

a b c (Å): 8.6466 8.6466 8.6466
angles (deg): 120.95 118.97 90.08
Last column: nearest neighbours and their distance in Å.
Element x y z (fractional)
Cs1 0.0000 0.0000 0.0000  6 S 3.30-3.31
Cs2 0.5000 0.0000 0.0000  6 S 3.43
Cs3 0.5000 0.0000 0.5000  6 S 3.30-3.31
Cs4 0.5000 0.5000 0.5000  6 S 3.43
Sm1 0.0000 0.5000 0.5000  6 S 2.87-2.88
Sm2 0.5000 0.5000 0.0000  6 S 2.87-2.88
Sc1 0.0000 0.0000 0.5000  6 S 2.71-2.74
Sc2 0.0000 0.5000 0.0000  6 S 2.71-2.74
S1 0.1779 0.7326 0.4453  2 Sc 2.74, 1 Sm 2.88
S2 0.2127 0.2674 0.9453  2 Sc 2.74, 1 Sm 2.88
S3 0.2202 0.2584 0.5382  1 Sc 2.71, 2 Sm 2.87
S4 0.2202 0.6820 0.9618  1 Sc 2.71, 2 Sm 2.87
S5 0.7798 0.3180 0.0382  1 Sc 2.71, 2 Sm 2.87
S6 0.7798 0.7416 0.4618  1 Sc 2.71, 2 Sm 2.87
S7 0.7873 0.7326 0.0547  2 Sc 2.74, 1 Sm 2.88
S8 0.8221 0.2674 0.5547  2 Sc 2.74, 1 Sm 2.88


First-principles (GGA-PBE) data for a relaxed RbAcAuO4 crystal, as listed in Alexandria.

Computed properties:
Electronic total energy (eV/atom): -5.17
SG: Cmcm, No. 63
Raw formation energy (eV per atom): -1.15
M_tot (μB per formula unit): 0.634

a b c (Å): 6.7572 6.7572 7.3644
angles (deg): 90.00 90.00 120.49
Last column: nearest neighbours and their distance in Å.
Element x y z (fractional)
Rb1 0.0000 0.0000 0.0000  6 O 2.76-2.93
Rb2 0.0000 0.0000 0.5000  6 O 2.76-2.93
Ac1 0.3235 0.6765 0.7500  4 O 2.36-2.45
Ac2 0.6765 0.3235 0.2500  4 O 2.36-2.45
Au1 0.3738 0.6262 0.2500  4 O 2.05
Au2 0.6262 0.3738 0.7500  4 O 2.05
O1 0.2466 0.7534 0.0597  1 Au 2.05
O2 0.2466 0.7534 0.4403  1 Au 2.05
O3 0.2969 0.3151 0.7500  1 Au 2.05
O4 0.3151 0.2969 0.2500  1 Au 2.05
O5 0.6849 0.7031 0.7500  1 Au 2.05
O6 0.7031 0.6849 0.2500  1 Au 2.05
O7 0.7534 0.2466 0.5597  1 Au 2.05
O8 0.7534 0.2466 0.9403  1 Au 2.05


First-principles (GGA-PBE) data for a relaxed KIn2ReBi crystal, as listed in Alexandria.

Computed properties:
ΔH_f (0 K) (eV/atom): 0.911
Electronic total energy (eV/atom): -3.67
SG: P4/mmm, No. 123
M_tot (μB per formula unit): 3.627

a b c (Å): 5.3181 5.3181 6.0466
angles (deg): 90.00 90.00 90.00
Last column: nearest neighbours and their distance in Å.
Element x y z (fractional)
K1 0.0000 0.0000 0.0000  2 Re 3.02
In1 0.0000 0.5000 0.5000  2 Re 2.66
In2 0.5000 0.0000 0.5000  2 Re 2.66
Re1 0.0000 0.0000 0.5000  4 In 2.66
Bi1 0.5000 0.5000 0.0000  4 K 3.76, 8 In 4.03


First-principles (GGA-PBE) data for a relaxed MgRh crystal, as listed in Alexandria.

Computed properties:
ΔH_f (0 K) (eV/atom): -0.094
Electronic total energy (eV/atom): -4.57
SG: P4/mcc, No. 124
M_tot (μB per formula unit): 0.000

a b c (Å): 7.7497 7.7497 4.7290
angles (deg): 90.00 90.00 90.00
Last column: nearest neighbours and their distance in Å.
Element x y z (fractional)
Mg1 0.0842 0.3061 0.0000  3 Rh 2.54-2.78, 2 Mg 2.70
Mg2 0.0842 0.6939 0.5000  3 Rh 2.54-2.78, 2 Mg 2.70
Mg3 0.3061 0.0842 0.5000  3 Rh 2.54-2.78, 2 Mg 2.70
Mg4 0.3061 0.9158 0.0000  3 Rh 2.54-2.78, 2 Mg 2.70
Mg5 0.6939 0.0842 0.0000  3 Rh 2.54-2.78, 2 Mg 2.70
Mg6 0.6939 0.9158 0.5000  3 Rh 2.54-2.78, 2 Mg 2.70
Mg7 0.9158 0.3061 0.5000  3 Rh 2.54-2.78, 2 Mg 2.70
Mg8 0.9158 0.6939 0.0000  3 Rh 2.54-2.78, 2 Mg 2.70
Rh1 0.2600 0.4083 0.5000  3 Mg 2.54-2.78, 4 Rh 2.76-2.82
Rh2 0.2600 0.5917 0.0000  3 Mg 2.54-2.78, 4 Rh 2.76-2.82
Rh3 0.4083 0.2600 0.0000  3 Mg 2.54-2.78, 4 Rh 2.76-2.82
Rh4 0.4083 0.7400 0.5000  3 Mg 2.54-2.78, 4 Rh 2.76-2.82
Rh5 0.5917 0.2600 0.5000  3 Mg 2.54-2.78, 4 Rh 2.76-2.82
Rh6 0.5917 0.7400 0.0000  3 Mg 2.54-2.78, 4 Rh 2.76-2.82
Rh7 0.7400 0.4083 0.0000  3 Mg 2.54-2.78, 4 Rh 2.76-2.82
Rh8 0.7400 0.5917 0.5000  3 Mg 2.54-2.78, 4 Rh 2.76-2.82


First-principles (GGA-PBE) data for a relaxed Zr2Ti4Fe crystal, as listed in Alexandria.

Computed properties:
ΔH_f (0 K) (eV/atom): 0.431
Electronic total energy (eV/atom): -7.73
SG: I4/mmm, No. 139
M_tot (μB per formula unit): 1.841

a b c (Å): 7.9093 7.9093 7.9093
angles (deg): 147.64 147.64 46.41
Last column: nearest neighbours and their distance in Å.
Element x y z (fractional)
Zr1 0.1387 0.1387 0.0000  9 Ti 2.90-3.13
Zr2 0.8613 0.8613 0.0000  9 Ti 2.90-3.13
Ti1 0.0000 0.5000 0.5000  2 Fe 2.20
Ti2 0.3381 0.3381 0.0000  1 Fe 2.35
Ti3 0.5000 0.0000 0.5000  2 Fe 2.20
Ti4 0.6619 0.6619 0.0000  1 Fe 2.35
Fe1 0.5000 0.5000 0.0000  6 Ti 2.20-2.35


First-principles (GGA-PBE) data for a relaxed LiAcPr2Hg4 crystal, as listed in Alexandria.

Computed properties:
ΔH_f (0 K) (eV/atom): -0.431
Electronic total energy (eV/atom): -2.53
SG: R-3m, No. 166
M_tot (μB per formula unit): 0.000

a b c (Å): 9.7035 9.7035 9.7035
angles (deg): 31.91 31.91 31.91
Last column: nearest neighbours and their distance in Å.
Element x y z (fractional)
Li1 0.0000 0.0000 0.0000  8 Hg 3.16-3.26
Ac1 0.5000 0.5000 0.5000  8 Hg 3.40-3.52
Pr1 0.2585 0.2585 0.2585  7 Hg 3.14-3.27
Pr2 0.7415 0.7415 0.7415  7 Hg 3.14-3.27
Hg1 0.1144 0.1144 0.1144  1 Li 3.16, 3 Pr 3.27, 3 Ac 3.40
Hg2 0.3724 0.3724 0.3724  4 Pr 3.14-3.23, 3 Li 3.26
Hg3 0.6276 0.6276 0.6276  4 Pr 3.14-3.23, 3 Li 3.26
Hg4 0.8856 0.8856 0.8856  1 Li 3.16, 3 Pr 3.27, 3 Ac 3.40


First-principles (GGA-PBE) data for a relaxed Eu2MgCl crystal, as listed in Alexandria.

Computed properties:
Electronic total energy (eV/atom): -6.80
SG: R-3m, No. 166
Raw formation energy (eV per atom): -0.80
Energy above the most stable polymorph in this dataset (kJ/mol of formula units): 0.0
M_tot (μB per formula unit): 15.666

a b c (Å): 9.8699 9.8699 9.8699
angles (deg): 22.69 22.69 22.69
Last column: nearest neighbours and their distance in Å.
Element x y z (fractional)
Eu1 0.2403 0.2403 0.2403  3 Cl 3.09
Eu2 0.7597 0.7597 0.7597  3 Cl 3.09
Mg1 0.0000 0.0000 0.0000  6 Eu 3.50, 6 Mg 3.88
Cl1 0.5000 0.5000 0.5000  6 Eu 3.09


First-principles (GGA-PBE) data for a relaxed HgRh2 crystal, as listed in Alexandria.

Computed properties:
ΔH_f (0 K) (eV/atom): 0.169
Electronic total energy (eV/atom): -4.83
SG: I4/mmm, No. 139
M_tot (μB per formula unit): 0.723

a b c (Å): 6.2691 6.2691 6.2691
angles (deg): 153.45 153.45 37.90
Last column: nearest neighbours and their distance in Å.
Element x y z (fractional)
Hg1 0.0000 0.0000 0.0000  4 Hg 2.88, 8 Rh 2.94
Rh1 0.3215 0.3215 0.0000  8 Rh 2.65-2.88, 4 Hg 2.94
Rh2 0.6785 0.6785 0.0000  8 Rh 2.65-2.88, 4 Hg 2.94


First-principles (GGA-PBE) data for a relaxed SrMnZn crystal, as listed in Alexandria.

Computed properties:
ΔH_f (0 K) (eV/atom): 0.217
Electronic total energy (eV/atom): -3.83
SG: P-6m2, No. 187
M_tot (μB per formula unit): 3.394

a b c (Å): 4.4747 4.4747 4.4655
angles (deg): 90.00 90.00 120.00
Last column: nearest neighbours and their distance in Å.
Element x y z (fractional)
Sr1 0.0000 0.0000 0.0000  6 Mn 3.41, 6 Zn 3.41
Mn1 0.3333 0.6667 0.5000  3 Zn 2.58
Zn1 0.6667 0.3333 0.5000  3 Mn 2.58


First-principles (GGA-PBE) data for a relaxed Dy3Ho3Sc crystal, as listed in Alexandria.

Computed properties:
ΔH_f (0 K) (eV/atom): 0.159
Electronic total energy (eV/atom): -4.68
SG: R-3, No. 148
Energy above the most stable polymorph in this dataset (kJ/mol of formula units): 94.9
M_tot (μB per formula unit): 0.000

a b c (Å): 14.2016 14.2016 14.2016
angles (deg): 24.84 24.84 24.84
Last column: nearest neighbours and their distance in Å.
Element x y z (fractional)
Dy1 0.1320 0.4629 0.8007  3 Ho 3.48-3.49, 9 Dy 3.50-3.54
Dy2 0.1993 0.8680 0.5371  3 Ho 3.48-3.49, 9 Dy 3.50-3.54
Dy3 0.4629 0.8007 0.1320  3 Ho 3.48-3.49, 9 Dy 3.50-3.54
Dy4 0.5371 0.1993 0.8680  3 Ho 3.48-3.49, 9 Dy 3.50-3.54
Dy5 0.8007 0.1320 0.4629  3 Ho 3.48-3.49, 9 Dy 3.50-3.54
Dy6 0.8680 0.5371 0.1993  3 Ho 3.48-3.49, 9 Dy 3.50-3.54
Ho1 0.0631 0.7286 0.3981  2 Sc 3.31, 3 Dy 3.48-3.49, 6 Ho 3.52-3.54
Ho2 0.2714 0.6019 0.9369  2 Sc 3.31, 3 Dy 3.48-3.49, 6 Ho 3.52-3.54
Ho3 0.3981 0.0631 0.7286  2 Sc 3.31, 3 Dy 3.48-3.49, 6 Ho 3.52-3.54
Ho4 0.6019 0.9369 0.2714  2 Sc 3.31, 3 Dy 3.48-3.49, 6 Ho 3.52-3.54
Ho5 0.7286 0.3981 0.0631  2 Sc 3.31, 3 Dy 3.48-3.49, 6 Ho 3.52-3.54
Ho6 0.9369 0.2714 0.6019  2 Sc 3.31, 3 Dy 3.48-3.49, 6 Ho 3.52-3.54
Sc1 0.3333 0.3333 0.3333  6 Ho 3.31, 3 Sc 3.53
Sc2 0.6667 0.6667 0.6667  6 Ho 3.31, 3 Sc 3.53